Computed, not measured: a relaxed K3Cd2Hg9 crystal at the PBE level of DFT.

Cell: 4.977 9.718 9.718 Å, 72.54 75.16 75.16°
Positions (direct):
Cd 0.500 0.693 0.307
Hg 0.339 0.025 0.296
Hg 0.339 0.296 0.025
Hg 0.136 0.152 0.575
Hg 0.661 0.704 0.975
Hg 0.864 0.425 0.848
Hg 0.864 0.848 0.425
Cd 0.500 0.307 0.693
Hg 0.661 0.975 0.704
Hg 0.136 0.575 0.152
K 0.699 0.301 0.301
Hg 0.000 0.500 0.500
K 0.301 0.699 0.699
K 0.000 0.000 0.000

Output
Energy relative to the elements in meV per atom: -193
Space group: Immm
V in Å³/f.u.: 425.1
Magnetic moment in Bohr magnetons per cell: 0.0
Uncorrected energy in eV/cell: -10.536